A plane-wave DFT calculation with GGA-PBE was carried out for LaY2TlRu after structural relaxation.

extended XYZ file:
```
5
Lattice="-1.844 4.552 -2.272 -3.256 -2.913 -3.193 -3.817 0.272 3.643" Properties=species:S:1:pos:R:3 pbc="T T T"
Y -1.628 -1.456 -1.597
Y -0.922 2.276 -1.136
Ru 0.000 0.000 0.000
Tl -4.458 0.956 -0.911
La -1.908 0.136 1.822
```

calculated formation energy: -0.206 eV/atom
space-group type: No. 123
final energy: -6.11 eV per atom

***

A plane-wave DFT calculation with GGA-PBE was carried out for Zr2TeCl after structural relaxation.

extended XYZ file:
```
4
Lattice="5.168 -0.002 -0.001 3.971 3.307 -0.001 1.166 0.422 5.222" Properties=species:S:1:pos:R:3 pbc="T T T"
Cl 5.108 1.847 1.938
Te 7.738 2.799 4.183
Zr 0.017 0.006 0.017
Zr 2.597 0.939 1.694
```

energy above the lowest structure with this stoichiometry: 219.0 meV per atom
space-group type: No. 8
formation energy (no corrections): -0.643 eV per atom
final energy: -6.16 eV per atom

***

A plane-wave DFT calculation with GGA-PBE was carried out for Rb2SiP2 after structural relaxation.

extended XYZ file:
```
10
Lattice="6.868 0.000 0.000 0.000 6.868 0.000 0.000 0.000 5.555" Properties=species:S:1:pos:R:3 pbc="T T T"
P 2.663 6.098 0.000
P 6.098 4.205 0.000
P 4.205 0.771 0.000
P 0.771 2.663 0.000
Si 0.000 0.000 0.000
Si 3.434 3.434 0.000
Rb 1.284 4.718 2.778
Rb 4.718 5.584 2.778
Rb 5.584 2.150 2.778
Rb 2.150 1.284 2.778
```

space-group type: No. 127
formation energy (no corrections): 0.031 eV per atom
final energy: -3.60 eV per atom

***

A plane-wave DFT calculation with GGA-PBE was carried out for AlFe2Si after structural relaxation.

extended XYZ file:
```
4
Lattice="-2.443 0.074 -1.377 1.273 -0.959 -2.309 -1.068 -5.291 1.609" Properties=species:S:1:pos:R:3 pbc="T T T"
Si -0.852 -1.765 -1.441
Fe -0.017 -0.083 0.025
Fe -0.517 -2.562 0.779
Al -1.386 -4.411 -0.637
```

space-group type: No. 123
formation energy (no corrections): -0.468 eV per atom
final energy: -6.99 eV per atom

***

A plane-wave DFT calculation with GGA-PBE was carried out for PmDy2Cd4 after structural relaxation.

extended XYZ file:
```
7
Lattice="5.110 0.000 -1.629 -0.519 5.084 -1.629 -0.290 -0.321 7.921" Properties=species:S:1:pos:R:3 pbc="T T T"
Cd 1.272 4.239 3.992
Cd 4.087 1.697 3.992
Cd 3.029 0.524 0.671
Cd 0.214 3.066 0.671
Dy 3.259 3.608 1.392
Dy 1.043 1.155 3.271
Pm 0.000 0.000 0.000
```

calculated formation energy: -0.151 eV/atom
space-group type: No. 139
final energy: -2.67 eV per atom

***

A plane-wave DFT calculation with GGA-PBE was carried out for CeReTcW after structural relaxation.

extended XYZ file:
```
4
Lattice="4.638 0.000 0.000 2.319 4.016 0.000 2.319 1.339 3.787" Properties=species:S:1:pos:R:3 pbc="T T T"
Re 6.957 4.016 2.840
Ce 4.638 2.678 1.893
W 0.000 0.000 0.000
Tc 2.319 1.339 0.947
```

calculated formation energy: 0.189 eV/atom
space-group type: No. 216
final energy: -10.24 eV per atom

***

A plane-wave DFT calculation with GGA-PBE was carried out for K3TmSc3Te8 after structural relaxation.

extended XYZ file:
```
15
Lattice="8.428 0.000 0.000 -4.214 7.297 -0.029 0.000 -4.828 8.489" Properties=species:S:1:pos:R:3 pbc="T T T"
K 0.000 0.000 0.000
K -2.107 3.649 -0.014
K 2.107 3.649 -0.014
Tm 0.000 -2.414 4.245
Sc 4.214 -2.414 4.245
Sc 2.107 1.235 4.230
Sc -2.107 1.235 4.230
Te 0.000 2.442 2.546
Te 4.214 0.027 5.915
Te 4.214 2.354 2.507
Te 0.000 0.115 5.954
Te 6.245 -1.164 2.521
Te -2.031 3.633 5.940
Te 2.183 -1.164 2.521
Te 2.031 3.633 5.940
```

space-group type: No. 166
formation energy (no corrections): -1.222 eV per atom
final energy: -4.68 eV per atom

***

A plane-wave DFT calculation with GGA-PBE was carried out for BaPm3Pb3 after structural relaxation.

extended XYZ file:
```
14
Lattice="-7.643 2.789 -5.674 -9.118 -3.384 1.949 -6.623 4.815 2.617" Properties=species:S:1:pos:R:3 pbc="T T T"
Ba -5.593 -0.169 -1.219
Ba -17.791 4.388 0.111
Pm -14.987 1.938 1.270
Pm -11.732 5.413 -2.371
Pm -9.082 2.488 2.140
Pm -14.302 1.732 -3.249
Pm -11.653 -1.193 1.263
Pm -8.397 2.282 -2.378
Pb -8.834 -0.021 0.234
Pb -11.076 2.836 -4.078
Pb -14.365 -0.364 -0.804
Pb -9.019 4.584 -0.305
Pb -12.309 1.384 2.970
Pb -14.550 4.240 -1.342
```

calculated formation energy: -0.339 eV/atom
space-group type: No. 148
final energy: -4.24 eV per atom